Below is a relaxed structure of NdTmGaSn, with properties calculated at the PBE-GGA level.

Calculated values
The density of states at the Fermi level comes out at 3.090 states/eV/f.u. For the energy above the most stable polymorph in this dataset, the calculation gives 152 meV/atom. Its formation energy is -0.526 eV/atom.

a = 7.458 Å, b = 7.458 Å, c = 7.458 Å
α = 90.00°, β = 90.00°, γ = 90.00°
Space group F-43m (No. 216)
Unique sites:
Nd 0.000 0.000 0.000
Tm 0.000 0.000 0.500
Ga 0.250 0.250 0.750
Sn 0.250 0.250 0.250

Below is a relaxed structure of Pm2Er2Ga, with properties calculated at the PBE-GGA level.

Calculated values
The density of states at the Fermi level comes out at 6.483 states/eV/f.u. Its formation energy is 0.381 eV/atom.

a = 4.240 Å, b = 4.240 Å, c = 17.610 Å
α = 90.00°, β = 90.00°, γ = 90.00°
Space group I4/mmm (No. 139)
Unique sites:
Pm 0.000 0.500 0.250
Er 0.000 0.000 0.085
Ga 0.000 0.000 0.500

Below is a relaxed structure of KRb2HgGe, with properties calculated at the PBE-GGA level.

Calculated values
The density of states at the Fermi level comes out at 4.130 states/eV/f.u. Its formation energy is 0.434 eV/atom.

a = 7.523 Å, b = 7.523 Å, c = 5.994 Å
α = 90.00°, β = 90.00°, γ = 90.00°
Space group P4/mmm (No. 123)
Unique sites:
K 0.000 0.000 0.000
Rb 0.000 0.500 0.000
Hg 0.500 0.500 0.500
Ge 0.000 0.000 0.500

Below is a relaxed structure of Mo3W, with properties calculated at the PBE-GGA level.

Calculated values
The density of states at the Fermi level comes out at 2.219 states/eV/f.u. For the energy above the most stable polymorph in this dataset, the calculation gives 335 meV/atom. Its formation energy is 0.315 eV/atom.

a = 2.646 Å, b = 2.646 Å, c = 9.298 Å
α = 90.00°, β = 90.00°, γ = 90.00°
Space group P4/mmm (No. 123)
Unique sites:
Mo 0.000 0.000 0.000
Mo 0.500 0.500 0.251
W 0.000 0.000 0.500

Below is a relaxed structure of ZrAu2Br, with properties calculated at the PBE-GGA level.

Calculated values
The formation energy (no corrections) is -0.25 eV/atom. The density of states at the Fermi level comes out at 1.906 states/eV/f.u. For the energy above the most stable polymorph in this dataset, the calculation gives 208 meV/atom.

a = 3.164 Å, b = 4.787 Å, c = 11.482 Å
α = 90.00°, β = 90.00°, γ = 90.00°
Space group Immm (No. 71)
Unique sites:
Zr 0.000 0.000 0.000
Au 0.000 0.500 0.287
Br 0.000 0.000 0.500

Below is a relaxed structure of Sr2ZnCr, with properties calculated at the PBE-GGA level.

Calculated values
The density of states at the Fermi level comes out at 3.386 states/eV/f.u. Its formation energy is 0.508 eV/atom.

a = 4.4359 Å, b = 4.4359 Å, c = 25.5895 Å
α = 90.00°, β = 90.00°, γ = 120.00°
Space group R-3m (No. 166, hexagonal axes)
Unique sites:
Sr 0.0000 0.0000 0.2466
Zn 0.0000 0.0000 0.5000
Cr 0.0000 0.0000 0.0000

Below is a relaxed structure of Ce8IrRu2, with properties calculated at the PBE-GGA level.

Calculated values
The density of states at the Fermi level comes out at 28.069 states/eV/f.u. For the energy above the most stable polymorph in this dataset, the calculation gives 0 meV/atom. Its formation energy is -0.273 eV/atom.

a = 17.203 Å, b = 5.333 Å, c = 6.158 Å
α = 90.00°, β = 110.49°, γ = 90.00°
Space group C2/m (No. 12)
Unique sites:
Ce 0.021 0.000 0.256
Ce 0.095 0.500 0.697
Ce 0.176 0.500 0.316
Ce 0.207 0.000 0.090
Ir 0.000 0.500 0.000
Ru 0.164 0.000 0.586

Below is a relaxed structure of Na4CePu3S8, with properties calculated at the PBE-GGA level.

Calculated values
The formation energy (no corrections) is -1.61 eV/atom. The density of states at the Fermi level comes out at 30.965 states/eV/f.u.

a = 8.1266 Å, b = 8.1266 Å, c = 19.8716 Å
α = 90.00°, β = 90.00°, γ = 120.00°
Space group R-3m (No. 166, hexagonal axes)
Unique sites:
Na 0.0000 0.0000 0.0000
Na 0.0000 0.5000 0.0000
Ce 0.0000 0.0000 0.5000
Pu 0.0000 0.5000 0.5000
S 0.0000 0.0000 0.2412
S 0.0017 0.5008 0.7572

Below is a relaxed structure of Na2InSnO4, with properties calculated at the PBE-GGA level.

Calculated values
The formation energy (no corrections) is -1.49 eV/atom. The density of states at the Fermi level comes out at 0.702 states/eV/f.u.

a = 5.347 Å, b = 5.347 Å, c = 9.448 Å
α = 90.00°, β = 90.00°, γ = 90.00°
Space group I-4 (No. 82)
Unique sites:
Na 0.000 0.000 0.000
Na 0.000 0.500 0.250
In 0.000 0.000 0.500
Sn 0.000 0.500 0.750
O 0.204 0.742 0.628

Below is a relaxed structure of BaInBr, with properties calculated at the PBE-GGA level.

Calculated values
The formation energy (no corrections) is -0.73 eV/atom. The density of states at the Fermi level comes out at 1.574 states/eV/f.u. For the energy above the most stable polymorph in this dataset, the calculation gives 88 meV/atom.

a = 5.4776 Å, b = 5.4776 Å, c = 4.4572 Å
α = 90.00°, β = 90.00°, γ = 120.00°
Space group P3m1 (No. 156)
Unique sites:
Ba 0.0000 0.0000 0.0000
In 0.3333 0.6667 0.4924
Br 0.6667 0.3333 0.2784

Below is a relaxed structure of Sc3PaBi4, with properties calculated at the PBE-GGA level.

Calculated values
The density of states at the Fermi level comes out at 7.398 states/eV/f.u. Its formation energy is -0.498 eV/atom.

a = 8.672 Å, b = 12.224 Å, c = 4.324 Å
α = 90.00°, β = 90.00°, γ = 90.00°
Space group Cmmm (No. 65)
Unique sites:
Sc 0.000 0.000 0.000
Sc 0.250 0.250 0.500
Pa 0.000 0.500 0.000
Bi 0.000 0.245 0.000
Bi 0.237 0.000 0.500

Below is a relaxed structure of HfGaSbI2, with properties calculated at the PBE-GGA level.

Calculated values
The formation energy (no corrections) is -0.02 eV/atom. The density of states at the Fermi level comes out at 2.629 states/eV/f.u. For the energy above the most stable polymorph in this dataset, the calculation gives 0 meV/atom.

a = 5.715 Å, b = 5.715 Å, c = 5.634 Å
α = 90.00°, β = 90.00°, γ = 90.00°
Space group P4/mmm (No. 123)
Unique sites:
Hf 0.000 0.000 0.000
Ga 0.500 0.500 0.500
Sb 0.000 0.000 0.500
I 0.000 0.500 0.000

Below is a relaxed structure of LaNi3Cl, with properties calculated at the PBE-GGA level.

Calculated values
The formation energy (no corrections) is 1.18 eV/atom. The density of states at the Fermi level comes out at 0.953 states/eV/f.u. For the energy above the most stable polymorph in this dataset, the calculation gives 976 meV/atom.

a = 4.832 Å, b = 4.832 Å, c = 4.832 Å
α = 90.00°, β = 90.00°, γ = 90.00°
Space group Pm-3m (No. 221)
Unique sites:
La 0.000 0.000 0.000
Ni 0.000 0.000 0.500
Cl 0.500 0.500 0.500

Below is a relaxed structure of CsRbHCl2, with properties calculated at the PBE-GGA level.

Calculated values
The density of states at the Fermi level comes out at 1.430 states/eV/f.u. For the energy above the most stable polymorph in this dataset, the calculation gives 118 meV/atom.

a = 4.676 Å, b = 4.676 Å, c = 10.938 Å
α = 101.69°, β = 101.90°, γ = 90.00°
Space group P1 (No. 1)
Unique sites:
Cs 0.000 0.000 0.000
Rb 0.304 0.309 0.570
H 0.652 0.656 0.287
Cl 0.562 0.562 0.129
Cl 0.734 0.740 0.429

Below is a relaxed structure of TiAgBRh2, with properties calculated at the PBE-GGA level.

Calculated values
The density of states at the Fermi level comes out at 8.967 states/eV/f.u. Its formation energy is 2.230 eV/atom.

a = 4.816 Å, b = 4.816 Å, c = 4.646 Å
α = 90.00°, β = 90.00°, γ = 90.00°
Space group P4/mmm (No. 123)
Unique sites:
Ti 0.000 0.000 0.000
Ag 0.000 0.000 0.500
B 0.500 0.500 0.000
Rh 0.000 0.500 0.500

Below is a relaxed structure of ErTm2Te, with properties calculated at the PBE-GGA level.

Calculated values
The formation energy (no corrections) is -0.55 eV/atom. The density of states at the Fermi level comes out at 4.096 states/eV/f.u. For the energy above the most stable polymorph in this dataset, the calculation gives 65 meV/atom.

a = 7.244 Å, b = 3.819 Å, c = 8.472 Å
α = 90.00°, β = 93.99°, γ = 90.00°
Space group P2_1/m (No. 11)
Unique sites:
Er 0.088 0.250 0.347
Tm 0.211 0.250 0.929
Tm 0.362 0.750 0.608
Te 0.375 0.750 0.192

Below is a relaxed structure of AcPmPr6Dy2, with properties calculated at the PBE-GGA level.

Calculated values
The density of states at the Fermi level comes out at 14.514 states/eV/f.u. Its formation energy is 0.115 eV/atom.

a = 9.466 Å, b = 15.585 Å, c = 9.929 Å
α = 90.00°, β = 96.66°, γ = 90.00°
Space group C2/c (No. 15)
Unique sites:
Ac 0.000 0.029 0.250
Pm 0.000 0.409 0.750
Pr 0.066 0.182 0.946
Pr 0.098 0.393 0.119
Pr 0.216 0.229 0.319
Dy 0.247 0.447 0.453

Below is a relaxed structure of HoTmHg5, with properties calculated at the PBE-GGA level.

Calculated values
The density of states at the Fermi level comes out at 2.874 states/eV/f.u. Its formation energy is -0.241 eV/atom.

a = 4.598 Å, b = 4.598 Å, c = 8.581 Å
α = 90.00°, β = 90.00°, γ = 90.00°
Space group P4/mmm (No. 123)
Unique sites:
Ho 0.000 0.000 0.000
Tm 0.500 0.500 0.500
Hg 0.000 0.000 0.500
Hg 0.000 0.500 0.238

Below is a relaxed structure of Hf7ZrIn5, with properties calculated at the PBE-GGA level.

Calculated values
The density of states at the Fermi level comes out at 10.316 states/eV/f.u. Its formation energy is 0.022 eV/atom.

a = 5.703 Å, b = 10.160 Å, c = 10.271 Å
α = 90.00°, β = 90.00°, γ = 90.00°
Space group Imm2 (No. 44)
Unique sites:
Hf 0.000 0.000 0.000
Hf 0.000 0.000 0.273
Hf 0.000 0.303 0.132
Hf 0.000 0.353 0.633
Hf 0.000 0.500 0.359
Zr 0.000 0.000 0.671
In 0.000 0.500 0.905
In 0.249 0.244 0.881

Below is a relaxed structure of PrScSb3, with properties calculated at the PBE-GGA level.

Calculated values
The formation energy (no corrections) is -0.81 eV/atom. The density of states at the Fermi level comes out at 1.846 states/eV/f.u.

a = 13.691 Å, b = 6.211 Å, c = 6.542 Å
α = 90.00°, β = 90.00°, γ = 90.00°
Space group Pbcm (No. 57)
Unique sites:
Pr 0.180 0.007 0.250
Sc 0.406 0.750 0.000
Sb 0.002 0.750 0.000
Sb 0.264 0.002 0.750
Sb 0.424 0.139 0.250

Below is a relaxed structure of CrNi2Sn, with properties calculated at the PBE-GGA level.

Calculated values
The density of states at the Fermi level comes out at 2.567 states/eV/f.u. Its formation energy is -0.007 eV/atom.

a = 3.955 Å, b = 3.955 Å, c = 3.613 Å
α = 90.00°, β = 90.00°, γ = 90.00°
Space group P4/mmm (No. 123)
Unique sites:
Cr 0.000 0.000 0.000
Ni 0.000 0.500 0.500
Sn 0.500 0.500 0.000

Below is a relaxed structure of ScMoCl2, with properties calculated at the PBE-GGA level.

Calculated values
The formation energy (no corrections) is -0.21 eV/atom. The density of states at the Fermi level comes out at 4.311 states/eV/f.u. For the energy above the most stable polymorph in this dataset, the calculation gives 598 meV/atom.

a = 3.1360 Å, b = 3.1360 Å, c = 30.6240 Å
α = 90.00°, β = 90.00°, γ = 120.00°
Space group R-3m (No. 166, hexagonal axes)
Unique sites:
Sc 0.0000 0.0000 0.0000
Mo 0.0000 0.0000 0.5000
Cl 0.0000 0.0000 0.2765

Below is a relaxed structure of La2N2Cl, with properties calculated at the PBE-GGA level.

Calculated values
The formation energy (no corrections) is -1.51 eV/atom. The density of states at the Fermi level comes out at 4.354 states/eV/f.u.

a = 4.0660 Å, b = 4.0660 Å, c = 7.4628 Å
α = 90.00°, β = 90.00°, γ = 120.00°
Space group P-3m1 (No. 164)
Unique sites:
La 0.3333 0.6667 0.3019
N 0.3333 0.6667 0.6269
Cl 0.0000 0.0000 0.0000

Below is a relaxed structure of CoAsIr3, with properties calculated at the PBE-GGA level.

Calculated values
The density of states at the Fermi level comes out at 6.202 states/eV/f.u. For the energy above the most stable polymorph in this dataset, the calculation gives 96 meV/atom. Its formation energy is 1.446 eV/atom.

a = 4.480 Å, b = 4.480 Å, c = 4.480 Å
α = 90.00°, β = 90.00°, γ = 90.00°
Space group Pm-3m (No. 221)
Unique sites:
Co 0.000 0.000 0.000
As 0.500 0.500 0.500
Ir 0.000 0.000 0.500

Below is a relaxed structure of Cs3Cu2AgCl6, with properties calculated at the PBE-GGA level.

Calculated values
The formation energy (no corrections) is -1.18 eV/atom.

a = 7.5852 Å, b = 7.5852 Å, c = 8.9887 Å
α = 90.00°, β = 90.00°, γ = 120.00°
Space group P-3m1 (No. 164)
Unique sites:
Cs 0.0000 0.0000 0.0000
Cs 0.3333 0.6667 0.6646
Cu 0.3333 0.6667 0.2857
Ag 0.0000 0.0000 0.5000
Cl 0.1642 0.3284 0.2983